! RbNpMnF6 PBE with a Hubbard U optimized geometry; values from VASP
! theoretical density: 5.1 g/cm3
! uncorrected energy: -119.392 eV for the cell shown
! crystal system: orthorhombic
! SG: Imma, No. 74
&SYSTEM
  ibrav = 0, nat = 18, ntyp = 4
/
ATOMIC_SPECIES
F 19.00 F.upf
Mn 54.94 Mn.upf
Rb 85.47 Rb.upf
Np 237.00 Np.upf
CELL_PARAMETERS angstrom
-1.797 7.682 0.612
-7.181 -1.546 -1.676
3.410 -3.738 5.774
ATOMIC_POSITIONS crystal
F 0.597 0.847 0.194
F 0.830 0.616 0.268
F 0.403 0.153 0.806
F 0.865 0.115 0.730
F 0.562 0.384 0.732
F 0.170 0.384 0.732
F 0.170 0.848 0.732
F 0.438 0.152 0.268
F 0.438 0.616 0.268
F 0.830 0.152 0.268
F 0.135 0.885 0.270
F 0.562 0.848 0.732
Mn 0.500 0.500 0.000
Mn 0.500 0.000 0.000
Rb 0.840 0.590 0.681
Rb 0.160 0.410 0.319
Np 0.500 0.000 0.500
Np 0.000 0.000 0.500